1.
Entry from Alexandria: TiCu2Ir2 after structural relaxation (PBE-GGA).

Output
Its space-group type is P4/mbm (127). The value obtained for the density of states at the Fermi level is 0.72 states/eV per atom. The electronic total energy comes out at -67.64 eV for the cell shown. As for the energy above the most stable polymorph in this dataset: 46 meV per atom.

CIF file:
```
data_TiCu2Ir2
_chemical_formula_sum 'Ti2 Cu4 Ir4'
_space_group_name_H-M_alt 'P 1'
_space_group_IT_number 1
_cell_length_a 6.963
_cell_length_b 6.963
_cell_length_c 2.984
_cell_angle_alpha 90.00
_cell_angle_beta 90.00
_cell_angle_gamma 90.00
loop_
_space_group_symop_operation_xyz
'x,y,z'
loop_
_atom_site_label
_atom_site_type_symbol
_atom_site_fract_x
_atom_site_fract_y
_atom_site_fract_z
Ir1 Ir 0.364 0.864 0.000
Ti1 Ti 0.000 0.000 0.000
Ir2 Ir 0.636 0.136 0.000
Ir3 Ir 0.136 0.364 0.000
Cu1 Cu 0.336 0.164 0.500
Cu2 Cu 0.664 0.836 0.500
Ir4 Ir 0.864 0.636 0.000
Cu3 Cu 0.836 0.336 0.500
Ti2 Ti 0.500 0.500 0.000
Cu4 Cu 0.164 0.664 0.500
```

=====

2.
Entry from Alexandria: TiCuIr after structural relaxation (PBE-GGA).

Output
Its space-group type is Pmma (51). The value obtained for the density of states at the Fermi level is 0.41 states/eV per atom. The electronic total energy comes out at -44.34 eV for the cell shown. As for the energy above the most stable polymorph in this dataset: 44 meV per atom.

CIF file:
```
data_TiCuIr
_chemical_formula_sum 'Ti2 Cu2 Ir2'
_space_group_name_H-M_alt 'P 1'
_space_group_IT_number 1
_cell_length_a 2.925
_cell_length_b 4.630
_cell_length_c 6.516
_cell_angle_alpha 90.00
_cell_angle_beta 90.00
_cell_angle_gamma 90.00
loop_
_space_group_symop_operation_xyz
'x,y,z'
loop_
_atom_site_label
_atom_site_type_symbol
_atom_site_fract_x
_atom_site_fract_y
_atom_site_fract_z
Ir1 Ir 0.000 0.250 0.856
Ti1 Ti 0.500 0.250 0.184
Ir2 Ir 0.000 0.750 0.144
Ti2 Ti 0.500 0.750 0.816
Cu1 Cu 0.000 0.500 0.500
Cu2 Cu 0.000 0.000 0.500
```

=====

3.
Entry from Alexandria: TmTiCuIr after structural relaxation (PBE-GGA).

Output
Its space-group type is F-43m (216). The value obtained for the density of states at the Fermi level is 0.88 states/eV per atom. The electronic total energy comes out at -27.19 eV for the cell shown.

CIF file:
```
data_TmTiCuIr
_chemical_formula_sum 'Tm1 Ti1 Cu1 Ir1'
_space_group_name_H-M_alt 'P 1'
_space_group_IT_number 1
_cell_length_a 4.604
_cell_length_b 4.604
_cell_length_c 4.604
_cell_angle_alpha 60.00
_cell_angle_beta 60.00
_cell_angle_gamma 60.00
loop_
_space_group_symop_operation_xyz
'x,y,z'
loop_
_atom_site_label
_atom_site_type_symbol
_atom_site_fract_x
_atom_site_fract_y
_atom_site_fract_z
Cu1 Cu 0.000 0.000 0.000
Tm1 Tm 0.750 0.750 0.750
Ti1 Ti 0.250 0.250 0.250
Ir1 Ir 0.500 0.500 0.500
```

=====

4.
Entry from Alexandria: TiVCuIr after structural relaxation (PBE-GGA).

Output
Its space-group type is F-43m (216). The value obtained for the density of states at the Fermi level is 0.98 states/eV per atom. The electronic total energy comes out at -31.15 eV for the cell shown.

CIF file:
```
data_TiVCuIr
_chemical_formula_sum 'Ti1 V1 Cu1 Ir1'
_space_group_name_H-M_alt 'P 1'
_space_group_IT_number 1
_cell_length_a 4.279
_cell_length_b 4.279
_cell_length_c 4.279
_cell_angle_alpha 60.00
_cell_angle_beta 60.00
_cell_angle_gamma 60.00
loop_
_space_group_symop_operation_xyz
'x,y,z'
loop_
_atom_site_label
_atom_site_type_symbol
_atom_site_fract_x
_atom_site_fract_y
_atom_site_fract_z
V1 V 0.000 0.000 0.000
Ti1 Ti 0.250 0.250 0.250
Ir1 Ir 0.750 0.750 0.750
Cu1 Cu 0.500 0.500 0.500
```

=====

Which value of electronic total energy does entry 2 give? -44.34 eV for the cell shown

=====

What is the electronic total energy in the first record? -67.64 eV for the cell shown

=====

Which of these has the lowest electronic total energy? TiCu2Ir2